First-principles (PBE-GGA) data for a geometry-optimized TcSn2Mo structure, as listed in the Alexandria database.

Output
Fermi-level density of states = 3.9 states/eV per cell
E_form = 0.17 eV per atom
Space-group type = P2_1/m, No. 11
Mass density = 9.260 g/cm3

```
data_TcSn2Mo
_chemical_formula_sum 'Tc2 Sn4 Mo2'
_cell_length_a 5.4043
_cell_length_b 4.4190
_cell_length_c 6.8290
_cell_angle_alpha 90.00
_cell_angle_beta 108.45
_cell_angle_gamma 90.00
_space_group_name_H-M_alt 'P 1'
_space_group_IT_number 1
loop_
_space_group_symop_operation_xyz
'x,y,z'
loop_
_atom_site_label
_atom_site_fract_x
_atom_site_fract_y
_atom_site_fract_z
Tc1 0.3758 0.2500 0.7169
Tc2 0.6242 0.7500 0.2831
Sn1 0.8167 0.2500 0.0813
Sn2 0.8204 0.2500 0.5785
Mo1 0.3754 0.2500 0.2210
Mo2 0.6246 0.7500 0.7790
Sn3 0.1796 0.7500 0.4215
Sn4 0.1833 0.7500 0.9187
```